No. 1
Material: SmDy2Er4Tm
Method: DFT, PBE
State: optimized geometry

The structure in extended XYZ format:
```
8
Lattice="4.9840 0.0000 0.0000 0.0000 4.9840 0.0000 0.0000 0.0000 9.9791" Properties=species:S:1:pos:R:3 pbc="T T T"
Sm 0.0000 0.0000 0.0000
Dy 0.0000 0.0000 4.9896
Dy 2.4920 2.4920 0.0000
Er 0.0000 2.4920 2.5153
Er 0.0000 2.4920 7.4638
Er 2.4920 0.0000 2.5153
Er 2.4920 0.0000 7.4638
Tm 2.4920 2.4920 4.9896
```

## Properties
The calculation puts the energy at -4.559 eV per atom. The crystal system is tetragonal. The formation energy is 0.0221 eV per atom. As for the space group: P4/mmm.


No. 2
Material: Fe3ICl
Method: DFT, PBE
State: optimized geometry

The structure in extended XYZ format:
```
5
Lattice="4.4481 0.0000 0.0000 0.0000 4.4481 0.0000 0.0000 0.0000 4.4481" Properties=species:S:1:pos:R:3 pbc="T T T"
Fe 0.0000 0.0000 2.2240
Fe 0.0000 2.2240 0.0000
Fe 2.2240 0.0000 0.0000
I 2.2240 2.2240 2.2240
Cl 0.0000 0.0000 0.0000
```

## Properties
The calculation puts the energy at -4.846 eV per atom. The crystal system is cubic. The offset from the most stable computed form is 0.00 eV/f.u. The formation energy without anion corrections comes out at 0.91 eV/atom. As for the space group: Pm-3m.


What did the first record say?
Material: SmDy2Er4Tm
Method: DFT, PBE
State: optimized geometry

The structure in extended XYZ format:
```
8
Lattice="4.9840 0.0000 0.0000 0.0000 4.9840 0.0000 0.0000 0.0000 9.9791" Properties=species:S:1:pos:R:3 pbc="T T T"
Sm 0.0000 0.0000 0.0000
Dy 0.0000 0.0000 4.9896
Dy 2.4920 2.4920 0.0000
Er 0.0000 2.4920 2.5153
Er 0.0000 2.4920 7.4638
Er 2.4920 0.0000 2.5153
Er 2.4920 0.0000 7.4638
Tm 2.4920 2.4920 4.9896
```

## Properties
The calculation puts the energy at -4.559 eV per atom. The crystal system is tetragonal. The formation energy is 0.0221 eV per atom. As for the space group: P4/mmm.